Density functional theory data (GGA-PBE) for a relaxed RbInGa crystal.

Computed properties:
For the formation energy, the calculation gives -0.024 eV/atom. Its space group is P2_1/m. Its total energy is -2.27 eV per atom. The value obtained for the energy above the most stable polymorph in this dataset is 69 meV/atom. The theoretical density comes out at 4.2 g/cm3. Its magnetization is 0.000 μB/atom.

Cell lengths 6.911, 4.356, 7.135 Å; angles 90.00, 93.55, 90.00 degrees
Fractional positions:
Rb 0.079 0.250 0.251
Rb 0.921 0.750 0.749
In 0.402 0.250 0.829
In 0.598 0.750 0.171
Ga 0.416 0.750 0.552
Ga 0.584 0.250 0.448